Here is KFeOs after structural relaxation from Alexandria. Energies are from GGA-PBEsol.

Cell and atoms, written as CIF:
```
data_KFeOs
_space_group_name_H-M_alt 'I m m 2'
_space_group_IT_number 44
_cell_length_a 2.607
_cell_length_b 3.723
_cell_length_c 12.065
_cell_angle_alpha 90.00
_cell_angle_beta 90.00
_cell_angle_gamma 90.00
loop_
_space_group_symop_operation_xyz
'x,y,z'
'-x,-y,z'
'-x,y,z'
'x,-y,z'
'x+1/2,y+1/2,z+1/2'
'-x+1/2,-y+1/2,z+1/2'
'-x+1/2,y+1/2,z+1/2'
'x+1/2,-y+1/2,z+1/2'
loop_
_atom_site_label
_atom_site_type_symbol
_atom_site_fract_x
_atom_site_fract_y
_atom_site_fract_z
K1 K 0.000 0.000 0.000
Fe1 Fe 0.000 0.000 0.283
Os1 Os 0.000 0.000 0.719
```

Crystal system   orthorhombic
Volume   59 Å³/f.u.
Fermi-level density of states   7.04 states/eV per cell
Energy   -6.55 eV per atom
Total moment   0.9 μB per formula unit
E_form   883 meV/atom


Here is K2TiFeOs after structural relaxation from Alexandria. Energies are from GGA-PBEsol.

Cell and atoms, written as CIF:
```
data_K2TiFeOs
_space_group_name_H-M_alt 'P 4/m m m'
_space_group_IT_number 123
_space_group_name_Hall '-P 4 2'
_cell_length_a 5.733
_cell_length_b 5.733
_cell_length_c 4.363
_cell_angle_alpha 90.00
_cell_angle_beta 90.00
_cell_angle_gamma 90.00
loop_
_atom_site_label
_atom_site_type_symbol
_atom_site_fract_x
_atom_site_fract_y
_atom_site_fract_z
K1 K 0.000 0.500 0.000
Ti1 Ti 0.000 0.000 0.500
Fe1 Fe 0.500 0.500 0.000
Os1 Os 0.500 0.500 0.500
```

Crystal system   tetragonal
Volume   143 Å³/f.u.
Fermi-level density of states   12.38 states/eV per cell
Energy   -4.40 eV per atom
Total moment   5.1 μB per formula unit
E_form   1959 meV/atom


Here is KFe2P2 after structural relaxation from Alexandria. Energies are from GGA-PBEsol.

Cell and atoms, written as CIF:
```
data_KFe2P2
_space_group_name_H-M_alt 'I 4/m m m'
_space_group_IT_number 139
_space_group_name_Hall '-I 4 2'
_cell_length_a 3.745
_cell_length_b 3.745
_cell_length_c 12.316
_cell_angle_alpha 90.00
_cell_angle_beta 90.00
_cell_angle_gamma 90.00
loop_
_atom_site_label
_atom_site_type_symbol
_atom_site_fract_x
_atom_site_fract_y
_atom_site_fract_z
K1 K 0.000 0.000 0.000
Fe1 Fe 0.000 0.500 0.250
P1 P 0.000 0.000 0.338
```

Crystal system   tetragonal
Volume   86 Å³/f.u.
Fermi-level density of states   7.96 states/eV per cell
Energy   -6.69 eV per atom
Total moment   0.0 μB per formula unit
E_form   -557 meV/atom


Here is KFe3P after structural relaxation from Alexandria. Energies are from GGA-PBEsol.

Cell and atoms, written as CIF:
```
data_KFe3P
_space_group_name_H-M_alt 'P m -3 m'
_space_group_IT_number 221
_space_group_name_Hall '-P 4 2 3'
_cell_length_a 4.335
_cell_length_b 4.335
_cell_length_c 4.335
_cell_angle_alpha 90.00
_cell_angle_beta 90.00
_cell_angle_gamma 90.00
loop_
_atom_site_label
_atom_site_type_symbol
_atom_site_fract_x
_atom_site_fract_y
_atom_site_fract_z
K1 K 0.000 0.000 0.000
Fe1 Fe 0.000 0.000 0.500
P1 P 0.500 0.500 0.500
```

Crystal system   cubic
Volume   81 Å³/f.u.
Fermi-level density of states   4.93 states/eV per cell
Energy   -4.21 eV per atom
Total moment   8.1 μB per formula unit
E_form   2555 meV/atom